<a>
Density functional theory data (PBE) for a relaxed Cr3InCl crystal.

symmetry = No. 221

Cell: 4.204 4.204 4.204 Å, 90.00 90.00 90.00°
Positions (direct):
1 Cr 0.000 0.500 0.000
2 Cr 0.000 0.000 0.500
3 Cr 0.500 0.000 0.000
4 In 0.500 0.500 0.500
5 Cl 0.000 0.000 0.000



<b>
Density functional theory data (PBE) for a relaxed Cr3InCl crystal.

symmetry = No. 221

Cell: 5.213 5.213 5.213 Å, 90.00 90.00 90.00°
Positions (direct):
1 Cr 0.000 0.000 0.500
2 Cr 0.500 0.000 0.000
3 Cr 0.000 0.500 0.000
4 Cl 0.500 0.500 0.500
5 In 0.000 0.000 0.000



Q: What are the energies relative to the best structure? A: <a> 0; <b> 499, in meV per atom.



<a>
Density functional theory data (PBE) for a relaxed CrInRe2Cl crystal.

symmetry = No. 123

Cell: 5.159 5.141 5.159 Å, 90.00 90.00 90.00°
Positions (direct):
1 Cl 0.000 0.500 0.000
2 Cr 0.500 0.500 0.500
3 In 0.000 0.000 0.000
4 Re 0.000 0.000 0.500
5 Re 0.500 0.000 0.000



<b>
Density functional theory data (PBE) for a relaxed CrInRe2Cl crystal.

symmetry = No. 123

Cell: 5.188 5.305 5.188 Å, 90.00 90.00 90.00°
Positions (direct):
1 Re 0.000 0.000 0.500
2 Re 0.500 0.000 0.000
3 Cr 0.000 0.500 0.000
4 In 0.000 0.000 0.000
5 Cl 0.500 0.500 0.500



Q: What are the energies relative to the best structure? A: <a> 0; <b> 148, in meV per atom.



<a>
Density functional theory data (PBE) for a relaxed CrInS2Cl crystal.

symmetry = No. 123

Cell: 5.000 5.000 4.965 Å, 90.00 90.00 90.00°
Positions (direct):
1 S 0.500 0.000 0.000
2 S 0.000 0.500 0.000
3 Cl 0.000 0.000 0.500
4 Cr 0.500 0.500 0.500
5 In 0.000 0.000 0.000



<b>
Density functional theory data (PBE) for a relaxed CrInS2Cl crystal.

symmetry = No. 123

Cell: 4.689 4.689 4.968 Å, 90.00 90.00 90.00°
Positions (direct):
1 S 0.000 0.500 0.000
2 S 0.500 0.000 0.000
3 Cr 0.000 0.000 0.000
4 Cl 0.000 0.000 0.500
5 In 0.500 0.500 0.500



Q: What are the energies relative to the best structure? A: <a> 597; <b> 0, in meV per atom.